# ScRuBr4

Crystalline ScRuBr4 at its relaxed geometry (PBE, Alexandria via LeMat-Bulk).

Values from the calculation:
density = 4.81 Mg/m³
formation energy (no corrections) = 5.58 eV/f.u.

a b c (Å): 6.104 6.104 6.104
angles (deg): 60.00 60.00 60.00
Site moments in Bohr magnetons follow the coordinates.
Positions (direct):
Br  0.376  0.376  0.873  -0.09
Br  0.873  0.376  0.376  -0.09
Br  0.376  0.873  0.376  -0.09
Br  0.376  0.376  0.376  -0.09
Sc  0.000  0.000  0.000  -0.61
Ru  0.750  0.750  0.750  2.39

# LiHoGe2Os

Crystalline LiHoGe2Os at its relaxed geometry (PBE, Alexandria via LeMat-Bulk).

Values from the calculation:
density = 9.46 Mg/m³
ΔE_f = -404 meV per atom

a b c (Å): 4.137 4.137 5.970
angles (deg): 110.27 110.27 90.00
Positions (direct):
Ho  0.000  0.000  0.000
Ge  0.377  0.377  0.754
Ge  0.623  0.623  0.246
Os  0.750  0.250  0.500
Li  0.250  0.750  0.500

# HoTaBiO6

Crystalline HoTaBiO6 at its relaxed geometry (PBE, Alexandria via LeMat-Bulk).

Values from the calculation:
density = 8.44 Mg/m³
formation energy (no corrections) = -21.89 eV/f.u.

a b c (Å): 5.026 5.026 10.135
angles (deg): 90.00 90.00 90.00
Positions (direct):
O  0.215  0.785  0.833
O  0.285  0.285  0.333
O  0.314  0.314  0.685
O  0.184  0.816  0.485
O  0.186  0.814  0.185
O  0.686  0.686  0.685
O  0.785  0.215  0.833
O  0.816  0.184  0.485
O  0.715  0.715  0.333
O  0.684  0.684  0.985
O  0.814  0.186  0.185
O  0.316  0.316  0.985
Ho  0.000  0.000  0.667
Ho  0.500  0.500  0.167
Ta  0.500  0.500  0.831
Ta  0.000  0.000  0.331
Bi  0.500  0.500  0.497
Bi  0.000  0.000  0.997

# Be2Au4C

Crystalline Be2Au4C at its relaxed geometry (PBE, Alexandria via LeMat-Bulk).

Values from the calculation:
density = 12.34 Mg/m³
ΔE_f = 696 meV per atom

a b c (Å): 4.219 4.219 6.863
angles (deg): 72.10 72.10 90.00
Positions (direct):
Au  0.801  0.801  0.398
Au  0.500  0.000  0.000
Au  0.199  0.199  0.602
Au  0.000  0.500  0.000
Be  0.376  0.376  0.249
Be  0.624  0.624  0.751
C  0.000  0.000  0.000

# TaIrSe2N

Crystalline TaIrSe2N at its relaxed geometry (PBE, Alexandria via LeMat-Bulk).

Values from the calculation:
density = 9.63 Mg/m³
excess energy over the best structure of this formula in the dataset = 0 meV per atom
formation energy (no corrections) = 3.52 eV/f.u.

a b c (Å): 5.092 5.092 3.624
angles (deg): 90.00 90.00 90.00
Site moments in Bohr magnetons follow the coordinates.
Positions (direct):
Se  0.500  0.000  0.000  -0.07
Se  0.000  0.500  0.000  -0.07
Ir  0.000  0.000  0.000  0.06
Ta  0.500  0.500  0.500  1.46
N  0.000  0.000  0.500  0.03

# Pr2NdGa

Crystalline Pr2NdGa at its relaxed geometry (PBE, Alexandria via LeMat-Bulk).

Values from the calculation:
density = 6.92 Mg/m³
excess energy over the best structure of this formula in the dataset = 192 meV per atom
ΔE_f = -64 meV per atom

a b c (Å): 5.522 5.522 5.521
angles (deg): 60.00 60.00 60.00
Site moments in Bohr magnetons follow the coordinates.
Positions (direct):
Pr  0.750  0.750  0.750  0.14
Pr  0.250  0.250  0.250  0.14
Nd  0.500  0.500  0.500  0.22
Ga  0.000  0.000  0.000  0.00